1.
Cd6Ga2Sn: relaxed, PBE.

## Properties
ΔE to the lowest computed polymorph	2	meV/atom
DOS at the Fermi energy	0.41	states/eV/atom

Geometry as POSCAR:
```
Cd6Ga2Sn
1.0
-2.391 -0.219 -2.132
-4.582 -1.245 7.671
-3.159 6.608 5.267
Cd Ga Sn
6 2 1
Direct
0.829 0.641 0.018
0.171 0.982 0.359
0.500 0.673 0.327
0.500 0.327 0.673
0.829 0.018 0.641
0.171 0.359 0.982
0.329 0.333 0.333
0.671 0.667 0.667
0.000 0.000 0.000
```

2.
Cd8Ga2Sn: relaxed, PBE.

## Properties
ΔE to the lowest computed polymorph	0	meV/atom
DOS at the Fermi energy	0.36	states/eV/atom

Geometry as POSCAR:
```
Cd8Ga2Sn
1.0
5.548 -0.130 -0.979
-0.202 5.558 -1.882
-1.014 -0.238 8.566
Cd Ga Sn
8 2 1
Direct
0.513 0.344 0.186
0.964 0.796 0.592
0.487 0.656 0.814
0.989 0.595 0.189
0.487 0.158 0.814
0.036 0.204 0.408
0.513 0.842 0.186
0.011 0.405 0.811
0.572 0.256 0.513
0.428 0.744 0.487
0.000 0.000 0.000
```